An optimized crystal structure of RbLiTlBi. Source: the Alexandria database, functional PBE.

Cell: 7.4996 7.4996 7.4996 Å, 38.43 38.43 38.43°
Sites, in units of the cell vectors:
1 Rb 0.0000 0.0000 0.0000
2 Li 0.8026 0.8026 0.8026
3 Tl 0.2103 0.2103 0.2103
4 Bi 0.4602 0.4602 0.4602

Summary:
**ρ**: 5739 kg/m3
**Space group**: R3m, No. 160
**Fermi-level density of states**: 0.1 states/eV per cell
**DFT formation energy**: -0.331 eV/atom

An optimized crystal structure of PPt3I. Source: the Alexandria database, functional PBE.

Cell: 4.6436 4.6436 4.6436 Å, 90.00 90.00 90.00°
Sites, in units of the cell vectors:
1 P 0.0000 0.0000 0.0000
2 Pt 0.0000 0.0000 0.5000
3 Pt 0.0000 0.5000 0.0000
4 Pt 0.5000 0.0000 0.0000
5 I 0.5000 0.5000 0.5000

Summary:
**ρ**: 12324 kg/m3
**Space group**: Pm-3m, No. 221
**E_form (uncorrected)**: 9.0 kcal/mol of atoms
**Fermi-level density of states**: 8.2 states/eV per cell

An optimized crystal structure of PdSe2O. Source: the Alexandria database, functional PBE.

Cell: 6.6087 6.6087 6.6087 Å, 34.79 34.79 34.79°
Sites, in units of the cell vectors:
1 Pd 0.0000 0.0000 0.0000
2 Se 0.3982 0.3982 0.3982
3 Se 0.6018 0.6018 0.6018
4 O 0.5000 0.5000 0.5000

Summary:
**ρ**: 5551 kg/m3
**Space group**: R-3m, No. 166
**E_form (uncorrected)**: -4.1 kcal/mol of atoms
**Fermi-level density of states**: 1.9 states/eV per cell

An optimized crystal structure of KYS. Source: the Alexandria database, functional PBE.

Cell: 3.8336 3.8336 15.4974 Å, 90.00 90.00 120.00°
Sites, in units of the cell vectors:
1 K 0.0000 0.0000 0.1296
2 K 0.0000 0.0000 0.8704
3 Y 0.3333 0.6667 0.3866
4 Y 0.3333 0.6667 0.6134
5 S 0.0000 0.0000 0.5000
6 S 0.3333 0.6667 0.0000

Summary:
**ρ**: 2695 kg/m3
**Space group**: P-6m2, No. 187
**E_form (uncorrected)**: -15.1 kcal/mol of atoms
**Fermi-level density of states**: 5.6 states/eV per cell

An optimized crystal structure of Pr8Dy3Tm2. Source: the Alexandria database, functional PBE.

Cell: 10.9205 10.9205 5.7878 Å, 90.01 90.01 41.71°
Sites, in units of the cell vectors:
1 Pr 0.0983 0.6887 0.0001
2 Pr 0.1748 0.1748 0.5004
3 Pr 0.3113 0.9017 0.9999
4 Pr 0.3689 0.3689 0.5005
5 Pr 0.6311 0.6311 0.4995
6 Pr 0.6887 0.0983 0.0001
7 Pr 0.8252 0.8252 0.4996
8 Pr 0.9017 0.3113 0.9999
9 Dy 0.2143 0.7857 0.5000
10 Dy 0.5000 0.5000 0.0000
11 Dy 0.7857 0.2143 0.5000
12 Tm 0.2605 0.2605 0.0007
13 Tm 0.7395 0.7395 0.9993

Summary:
**ρ**: 7060 kg/m3
**Space group**: C2/m, No. 12
**Fermi-level density of states**: 18.0 states/eV per cell
**DFT formation energy**: 0.199 eV/atom

An optimized crystal structure of PrHgBr6. Source: the Alexandria database, functional PBE.

Cell: 6.9578 7.0760 7.2029 Å, 92.84 115.76 113.38°
Sites, in units of the cell vectors:
1 Pr 0.0000 0.0000 0.0000
2 Hg 0.0000 0.5000 0.5000
3 Br 0.1734 0.2528 0.4348
4 Br 0.1913 0.7521 0.2619
5 Br 0.4838 0.2431 0.0543
6 Br 0.5162 0.7569 0.9457
7 Br 0.8087 0.2479 0.7381
8 Br 0.8266 0.7472 0.5652

Summary:
**ρ**: 4827 kg/m3
**Space group**: P-1, No. 2
**E_form (uncorrected)**: -21.4 kcal/mol of atoms
**Fermi-level density of states**: 8.8 states/eV per cell